(1)
# Cu2Sn2Bi | Alexandria via LeMat-Bulk | PBE | relaxed
# Space-group type: P4/mbm (127)
# Energy relative to the elements: 0.14 eV/atom
# E: -3.880 eV per atom
# Spin magnetization: 0.00 μB/f.u.
data_Cu2Sn2Bi
_cell_length_a 7.3779
_cell_length_b 7.3779
_cell_length_c 3.9919
_cell_angle_alpha 90.00
_cell_angle_beta 90.00
_cell_angle_gamma 90.00
_space_group_name_H-M_alt 'P 1'
_space_group_IT_number 1
loop_
_space_group_symop_operation_xyz
'x,y,z'
loop_
_atom_site_label
_atom_site_fract_x
_atom_site_fract_y
_atom_site_fract_z
Cu1 0.6202 0.1202 0.0000
Cu2 0.3798 0.8798 0.0000
Cu3 0.1202 0.3798 0.0000
Cu4 0.8798 0.6202 0.0000
Bi1 0.5000 0.5000 0.0000
Bi2 0.0000 0.0000 0.0000
Sn1 0.3343 0.1657 0.5000
Sn2 0.1657 0.6657 0.5000
Sn3 0.6657 0.8343 0.5000
Sn4 0.8343 0.3343 0.5000

(2)
# NaAgBi | Alexandria via LeMat-Bulk | PBE | relaxed
# Space-group type: P4/nmm (129)
# Energy relative to the elements: -0.14 eV/atom
# E: -2.822 eV per atom
# Spin magnetization: 0.00 μB/f.u.
data_NaAgBi
_cell_length_a 4.6061
_cell_length_b 4.6061
_cell_length_c 7.5881
_cell_angle_alpha 90.00
_cell_angle_beta 90.00
_cell_angle_gamma 90.00
_space_group_name_H-M_alt 'P 1'
_space_group_IT_number 1
loop_
_space_group_symop_operation_xyz
'x,y,z'
loop_
_atom_site_label
_atom_site_fract_x
_atom_site_fract_y
_atom_site_fract_z
Ag1 0.2500 0.7500 0.0000
Ag2 0.7500 0.2500 0.0000
Bi1 0.2500 0.2500 0.2462
Bi2 0.7500 0.7500 0.7538
Na1 0.7500 0.7500 0.3176
Na2 0.2500 0.2500 0.6824

(3)
# AcEr2Sb | Alexandria via LeMat-Bulk | PBE | relaxed
# Space-group type: R3m (160)
# E: -4.685 eV per atom
# Formation energy from raw total energies: -1.4 eV/f.u.
# Spin magnetization: 0.00 μB/f.u.
data_AcEr2Sb
_cell_length_a 4.0603
_cell_length_b 4.0603
_cell_length_c 10.0839
_cell_angle_alpha 78.39
_cell_angle_beta 78.39
_cell_angle_gamma 60.00
_space_group_name_H-M_alt 'P 1'
_space_group_IT_number 1
loop_
_space_group_symop_operation_xyz
'x,y,z'
loop_
_atom_site_label
_atom_site_fract_x
_atom_site_fract_y
_atom_site_fract_z
Ac1 0.5010 0.5010 0.4970
Sb1 0.6660 0.6660 0.0019
Er1 0.0635 0.0635 0.8094
Er2 0.2694 0.2694 0.1918